[1]
Density functional theory data (PBE-GGA) for a relaxed structure of CdTe2.

Lattice parameters (Å, degrees): 13.3934 13.3934 4.1204 90.00 90.00 161.88
Positions (direct):
Cd 0.3297 0.6703 0.0000
Cd 0.6703 0.3297 0.0000
Te 0.8321 0.1679 0.5000
Te 0.1679 0.8321 0.5000
Te 0.0000 0.0000 0.0000
Te 0.5000 0.5000 0.5000

As for the formation energy from raw total energies: 0.03 eV/atom. As for the total moment: 0.0 μB/cell.

***

[2]
Density functional theory data (PBE-GGA) for a relaxed structure of CaAuSe2.

Lattice parameters (Å, degrees): 4.7841 4.0068 5.8526 63.93 90.00 90.00
Positions (direct):
Se 0.5000 0.3474 0.3908
Se 0.0000 0.0394 0.8921
Ca 0.5000 0.5740 0.8314
Au 0.0000 0.5391 0.3858

As for the formation energy from raw total energies: -0.90 eV/atom. As for the total moment: 0.0 μB/cell.